This record from Alexandria describes a relaxed structure of ScTl2Co. The functional is PBE.

Cell: 5.0741 5.0741 5.2620 Å, 70.92 70.92 40.88°
Closest atoms and distances in Å follow each position.
Fractional coordinates of all 4 atoms:
Co 0.7500 0.7500 0.7500  4 Tl 2.73
Sc 0.2500 0.2500 0.2500  6 Tl 3.02-3.05, 4 Co 3.17
Tl 0.0211 0.0211 0.9718  2 Co 2.73, 3 Sc 3.02-3.05
Tl 0.4789 0.4789 0.5282  2 Co 2.73, 3 Sc 3.02-3.05

Calculated values
Symmetry   C2/m (12)
ΔH_f (0 K)   168 meV/atom

This record from Alexandria describes a relaxed structure of ScTl2Co. The functional is PBE.

Cell: 6.5505 6.5505 4.5435 Å, 69.74 69.74 27.94°
Closest atoms and distances in Å follow each position.
Fractional coordinates of all 4 atoms:
Co 0.5158 0.5158 0.4842  2 Sc 2.53, 4 Tl 2.78
Sc 0.1817 0.1817 0.3183  2 Co 2.53
Tl 0.9984 0.9984 0.0016  4 Co 2.78
Tl 0.8041 0.8041 0.6959  2 Co 2.97, 4 Sc 3.13, 4 Tl 3.16-3.24

Calculated values
Symmetry   Imm2 (44)
ΔH_f (0 K)   122 meV/atom

This record from Alexandria describes a relaxed structure of Sc4TlCo. The functional is PBE.

Cell: 5.7940 6.3627 8.2280 Å, 108.07 110.59 89.99°
Closest atoms and distances in Å follow each position.
Fractional coordinates of all 12 atoms:
Sc 0.5237 0.0149 0.8106  1 Co 2.48
Sc 0.7134 0.4851 0.1893  1 Co 2.48
Sc 0.4763 0.9851 0.1894  1 Co 2.48
Sc 0.2866 0.5149 0.8107  1 Co 2.48
Sc 0.9238 0.8706 0.6240  2 Co 2.37-2.55
Sc 0.2999 0.6293 0.3759  2 Co 2.37-2.55
Sc 0.0762 0.1294 0.3760  2 Co 2.37-2.55
Sc 0.7001 0.3707 0.6241  2 Co 2.37-2.55
Tl 0.8988 0.7502 0.0001  6 Sc 3.04-3.28, 2 Tl 3.39
Tl 0.1012 0.2498 0.9999  6 Sc 3.04-3.28, 2 Tl 3.39
Co 0.5000 0.0000 0.5000  6 Sc 2.37-2.55
Co 0.0000 0.5000 0.5000  6 Sc 2.37-2.55

Calculated values
Symmetry   C2/c (15)
ΔH_f (0 K)   -147 meV/atom

Number 1: magnetization 1.01 Bohr magnetons per cell. Number 2: magnetization 0.09 Bohr magnetons per cell. Number 3: magnetization 1.47 Bohr magnetons per cell.